1.
Here is Cu2PAu after structural relaxation from Alexandria. Energies are from PBE.

**Energy relative to the elements**: 0.119 eV per atom
**Theoretical density**: 10.259 g cm⁻³
**Space-group type**: P2/m (10)
**Calculated total energy**: -4.10 eV per atom
**Crystal system**: monoclinic

Cell lengths 3.788, 2.939, 5.492 Å; angles 70.08, 90.00, 90.00 degrees
Positions (direct):
Au  0.500  0.750  0.750
Cu  0.000  0.105  0.024
Cu  0.000  0.395  0.476
P  0.500  0.250  0.250



2.
Here is AlHgOs2 after structural relaxation from Alexandria. Energies are from PBE.

**Energy relative to the elements**: 0.561 eV per atom
**Theoretical density**: 16.234 g cm⁻³
**Space-group type**: P4/mmm (123)
**Calculated total energy**: -6.06 eV per atom
**E above lowest polymorph**: 361 meV per atom
**Crystal system**: tetragonal

Cell lengths 4.426, 4.426, 3.174 Å; angles 90.00, 90.00, 90.00 degrees
Positions (direct):
Os  0.500  0.500  0.000
Os  0.000  0.000  0.000
Al  0.500  0.000  0.500
Hg  0.000  0.500  0.500



3.
Here is MgZnNF2 after structural relaxation from Alexandria. Energies are from PBE.

**Theoretical density**: 3.725 g cm⁻³
**Space-group type**: P4/mmm (123)
**Calculated total energy**: -3.90 eV per atom
**E above lowest polymorph**: 209 meV per atom
**Crystal system**: tetragonal

Cell lengths 3.929, 3.929, 4.092 Å; angles 90.00, 90.00, 90.00 degrees
Positions (direct):
Mg  0.500  0.500  0.500
Zn  0.000  0.000  0.000
N  0.000  0.000  0.500
F  0.000  0.500  0.000
F  0.500  0.000  0.000